! Be2CdH (PBEsol, optimized geometry); values from VASP
&SYSTEM
  ibrav = 0, nat = 8, ntyp = 3
/
ATOMIC_SPECIES
Be 9.01 Be.upf
H 1.01 H.upf
Cd 112.41 Cd.upf
ATOMIC_POSITIONS crystal
Be 0.625 0.375 0.750
Be 0.125 0.375 0.750
Be 0.625 0.375 0.250
Be 0.625 0.875 0.250
H 0.750 0.250 0.500
H 0.500 0.500 0.000
Cd 0.250 0.750 0.500
Cd 0.000 0.000 0.000
CELL_PARAMETERS angstrom
4.436 0.000 0.000
0.000 4.436 0.000
-2.218 -2.218 4.284
! - calculated total energy (eV/atom) = -2.721

---

! BeCd2SbH (PBEsol, optimized geometry); values from VASP
&SYSTEM
  ibrav = 0, nat = 5, ntyp = 4
/
ATOMIC_SPECIES
H 1.01 H.upf
Cd 112.41 Cd.upf
Sb 121.76 Sb.upf
Be 9.01 Be.upf
ATOMIC_POSITIONS crystal
H 0.000 0.000 0.000
Cd 0.000 0.000 0.500
Cd 0.000 0.500 0.000
Sb 0.500 0.500 0.500
Be 0.500 0.000 0.000
CELL_PARAMETERS angstrom
3.287 0.000 0.000
0.000 5.154 0.000
0.000 0.000 5.154
! - calculated total energy (eV/atom) = -2.354

---

! Be2CdHg (PBEsol, optimized geometry); values from VASP
&SYSTEM
  ibrav = 0, nat = 4, ntyp = 3
/
ATOMIC_SPECIES
Be 9.01 Be.upf
Hg 200.59 Hg.upf
Cd 112.41 Cd.upf
ATOMIC_POSITIONS crystal
Be 0.500 0.500 0.500
Be 0.000 0.000 0.500
Hg 0.500 0.500 0.000
Cd 0.000 0.000 0.000
CELL_PARAMETERS angstrom
-0.762 1.686 -2.526
-3.970 -2.946 0.031
0.348 3.375 3.688
! - offset from the most stable computed form (eV/atom) = 0.169
! - calculated total energy (eV/atom) = -1.968
! - energy relative to the elements (eV/atom) = 0.47

---

! Be2CdHg (PBEsol, optimized geometry); values from VASP
&SYSTEM
  ibrav = 0, nat = 4, ntyp = 3
/
ATOMIC_SPECIES
Be 9.01 Be.upf
Cd 112.41 Cd.upf
Hg 200.59 Hg.upf
ATOMIC_POSITIONS crystal
Be 0.000 0.000 0.753
Be 0.000 0.000 0.247
Cd 0.500 0.000 0.500
Hg 0.500 0.000 0.000
CELL_PARAMETERS angstrom
-2.549 0.984 0.082
0.595 -2.063 -2.330
-2.278 -6.317 5.012
! - offset from the most stable computed form (eV/atom) = 0.184
! - calculated total energy (eV/atom) = -1.953
! - energy relative to the elements (eV/atom) = 0.49

---

- Look up the calculated total energy of the second one.
  -2.354 eV/atom